DFT (PBE+U) results for a relaxed Cs2ErNi3F12 crystal.

Cell: 7.620 7.620 7.620 Å, 57.91 57.91 57.91°
Positions (direct):
Cs (0.114, 0.114, 0.114)
Cs (0.886, 0.886, 0.886)
Er (0.500, 0.500, 0.500)
Ni (0.000, 0.500, 0.500)
Ni (0.500, 0.000, 0.500)
Ni (0.500, 0.500, 0.000)
F (0.153, 0.583, 0.583)
F (0.193, 0.193, 0.580)
F (0.193, 0.580, 0.193)
F (0.417, 0.417, 0.847)
F (0.417, 0.847, 0.417)
F (0.420, 0.807, 0.807)
F (0.580, 0.193, 0.193)
F (0.583, 0.153, 0.583)
F (0.583, 0.583, 0.153)
F (0.807, 0.420, 0.807)
F (0.807, 0.807, 0.420)
F (0.847, 0.417, 0.417)

Calculated values
Electronic total energy in eV per atom: -4.718
Crystal system: trigonal
Volume in Å³ per atom: 16.5